Entry 1:
# PBE-GGA Pr6Dy3Tm, optimized geometry
data_Pr6Dy3Tm
_chemical_formula_sum 'Pr12 Dy6 Tm2'
_cell_length_a 11.173
_cell_length_b 11.173
_cell_length_c 6.452
_cell_angle_alpha 90.00
_cell_angle_beta 90.00
_cell_angle_gamma 121.23
_symmetry_space_group_name_H-M 'P 1'
_symmetry_Int_Tables_number 1
loop_
_symmetry_equiv_pos_as_xyz
'x,y,z'
loop_
_atom_site_label
_atom_site_fract_x
_atom_site_fract_y
_atom_site_fract_z
Pr1 0.034 0.966 0.500
Pr2 0.062 0.485 0.032
Pr3 0.281 0.719 0.725
Pr4 0.286 0.372 0.836
Pr5 0.372 0.286 0.336
Pr6 0.485 0.062 0.532
Pr7 0.515 0.938 0.032
Pr8 0.628 0.714 0.836
Pr9 0.714 0.628 0.336
Pr10 0.719 0.281 0.225
Pr11 0.938 0.515 0.532
Pr12 0.966 0.034 0.000
Dy1 0.053 0.283 0.414
Dy2 0.283 0.053 0.914
Dy3 0.386 0.614 0.303
Dy4 0.614 0.386 0.803
Dy5 0.717 0.947 0.414
Dy6 0.947 0.717 0.914
Tm1 0.192 0.808 0.278
Tm2 0.808 0.192 0.778
# total DFT energy (no corrections) = -4.5571 eV/atom
# magnetization = 0.00 μB/f.u.
# energy relative to the elements = 1.4 eV/f.u.

Entry 2:
# PBE-GGA PrDyTm, optimized geometry
data_PrDyTm
_chemical_formula_sum 'Pr1 Dy1 Tm1'
_cell_length_a 5.680
_cell_length_b 5.680
_cell_length_c 3.489
_cell_angle_alpha 90.00
_cell_angle_beta 90.00
_cell_angle_gamma 120.00
_symmetry_space_group_name_H-M 'P 1'
_symmetry_Int_Tables_number 1
loop_
_symmetry_equiv_pos_as_xyz
'x,y,z'
loop_
_atom_site_label
_atom_site_fract_x
_atom_site_fract_y
_atom_site_fract_z
Pr1 0.000 0.000 0.000
Dy1 0.333 0.667 0.500
Tm1 0.667 0.333 0.500
# total DFT energy (no corrections) = -4.5420 eV/atom
# magnetization = 0.00 μB/f.u.
# energy relative to the elements = 0.2 eV/f.u.